# 1
# ErAlTeO6

A relaxed ErAlTeO6 crystal (PBE-GGA, Alexandria via LeMat-Bulk).

Cell lengths 5.0594, 5.0594, 9.7587 Å; angles 90.00, 90.00, 120.00 degrees
Last column: nearest neighbours and their distance in Å.
Space group P-31c (No. 163)
Asymmetric unit:
Er1 0.0000 0.0000 0.0000 x2  6 O 2.29
Al1 0.3333 0.6667 0.2500 x2  6 O 1.93
Te1 0.3333 0.6667 0.7500 x2  6 O 1.95
O1 0.0032 0.3649 0.1406 x12  1 Al 1.93, 1 Te 1.95

Results
raw formation energy: -21.368 eV/f.u.

=====

# 2
# Er4AlTlO

A relaxed Er4AlTlO crystal (PBE-GGA, Alexandria via LeMat-Bulk).

Cell lengths 6.4539, 16.1082, 6.4583 Å; angles 90.00, 90.00, 90.00 degrees
Last column: nearest neighbours and their distance in Å.
Space group Cmcm (No. 63)
Asymmetric unit:
Er1 0.0000 0.0741 0.2500 x4  1 O 2.98, 3 Al 3.06-3.30, 2 Tl 3.28
Er2 0.0000 0.4174 0.2500 x4  1 O 2.55
Er3 0.2500 0.2500 0.0000 x8  2 O 2.29
Al1 0.0000 0.1158 0.7500 x4  9 Er 3.06-3.30
Tl1 0.0000 0.3906 0.7500 x4  9 Er 3.09-3.28
O1 0.0000 0.2594 0.2500 x4  5 Er 2.29-2.55

Results
raw formation energy: -7.195 eV/f.u.

=====

# 3
# ErUAl2O8

A relaxed ErUAl2O8 crystal (PBE-GGA, Alexandria via LeMat-Bulk).

Cell lengths 6.8599, 6.8599, 6.4673 Å; angles 90.00, 90.00, 90.00 degrees
Last column: nearest neighbours and their distance in Å.
Space group I-4m2 (No. 119)
Asymmetric unit:
Er1 0.0000 0.0000 0.0000 x2  8 O 2.22-2.45
U1 0.0000 0.5000 0.7500 x2  8 O 2.14-2.35
Al1 0.0000 0.0000 0.5000 x2  4 O 1.78
Al2 0.0000 0.5000 0.2500 x2  4 O 1.75
O1 0.0000 0.1945 0.6816 x8  1 Al 1.78
O2 0.0000 0.3191 0.0584 x8  1 Al 1.75

Results
raw formation energy: -34.551 eV/f.u.

=====

# 4
# Y9Er3Al20O48

A relaxed Y9Er3Al20O48 crystal (PBE-GGA, Alexandria via LeMat-Bulk).

Cell lengths 17.1187, 12.1054, 12.1018 Å; angles 90.00, 134.98, 90.00 degrees
Last column: nearest neighbours and their distance in Å.
Space group C2 (No. 5)
Asymmetric unit:
Y1 0.0000 0.0000 0.0000 x2  8 O 2.33-2.47
Y2 0.0000 0.2499 0.5000 x2  8 O 2.33-2.46
Y3 0.0000 0.4999 0.0000 x2  8 O 2.33-2.47
Y4 0.1250 0.3749 0.8750 x4  8 O 2.33-2.46
Y5 0.1251 0.8748 0.3753 x4  8 O 2.33-2.46
Y6 0.2500 0.1248 0.8750 x4  8 O 2.33-2.47
Er1 0.0000 0.7497 0.5000 x2  8 O 2.31-2.45
Er2 0.2502 0.1250 0.3752 x4  8 O 2.31-2.45
Al1 0.0004 0.1249 0.2500 x4  6 O 1.94
Al2 0.0000 0.2497 0.0000 x2  4 O 1.78
Al3 0.0000 0.5005 0.5000 x2  4 O 1.78
Al4 0.0003 0.6250 0.2510 x4  6 O 1.94
Al5 0.0000 0.7499 0.0000 x2  4 O 1.78
Al6 0.0000 0.9993 0.5000 x2  4 O 1.78
Al7 0.1251 0.3748 0.3750 x4  4 O 1.78
Al8 0.1250 0.8747 0.8747 x4  4 O 1.78
Al9 0.2503 0.1250 0.1260 x4  4 O 1.78
Al10 0.2500 0.1249 0.6243 x4  4 O 1.78
Al11 0.2503 0.3742 0.2505 x4  6 O 1.94
Al12 0.2499 0.3754 0.7496 x4  6 O 1.94
O1 0.0305 0.2738 0.3309 x4  2 Al 1.78-1.94
O2 0.0306 0.4760 0.2304 x4  2 Al 1.78-1.94
O3 0.0307 0.7739 0.7289 x4  2 Al 1.78-1.94
O4 0.0307 0.9758 0.8312 x4  2 Al 1.78-1.94
O5 0.0501 0.0940 0.6513 x4  2 Al 1.78-1.94
O6 0.0501 0.6555 0.9487 x4  2 Al 1.78-1.94
O7 0.0512 0.5956 0.4510 x4  2 Al 1.78-1.94
O8 0.0515 0.1554 0.1523 x4  2 Al 1.78-1.94
O9 0.1011 0.3442 0.0508 x4  2 Al 1.78-1.94
O10 0.1009 0.4057 0.6512 x4  2 Al 1.78-1.94
O11 0.1011 0.8442 0.1517 x4  2 Al 1.78-1.94
O12 0.1005 0.9041 0.5503 x4  2 Al 1.78-1.94
O13 0.1490 0.1751 0.9301 x4  2 Al 1.78-1.94
O14 0.1489 0.5746 0.8680 x4  2 Al 1.78-1.94
O15 0.1494 0.6750 0.3703 x4  2 Al 1.78-1.94
O16 0.1495 0.0747 0.4287 x4  2 Al 1.78-1.94
O17 0.1987 0.7253 0.7279 x4  2 Al 1.78-1.94
O18 0.2000 0.0245 0.1709 x4  2 Al 1.78-1.94
O19 0.1997 0.2261 0.6688 x4  2 Al 1.78-1.94
O20 0.2000 0.5237 0.2310 x4  2 Al 1.78-1.94
O21 0.2194 0.3232 0.3685 x4  2 Al 1.78-1.94
O22 0.2193 0.4265 0.5700 x4  2 Al 1.78-1.94
O23 0.2194 0.8248 0.0705 x4  2 Al 1.78-1.94
O24 0.2196 0.9250 0.8683 x4  2 Al 1.78-1.94

Results
raw formation energy: -261.714 eV/f.u.

=====

# 5
# ErAlZnO4

A relaxed ErAlZnO4 crystal (PBE-GGA, Alexandria via LeMat-Bulk).

Cell lengths 6.0247, 6.4233, 8.7074 Å; angles 90.00, 90.00, 90.00 degrees
Last column: nearest neighbours and their distance in Å.
Space group Imma (No. 74)
Asymmetric unit:
Er1 0.0000 0.0000 0.0000 x4  6 O 2.19-2.23
Al1 0.2500 0.2500 0.2500 x4  6 O 1.94-2.02
Zn1 0.0000 0.2500 0.6171 x4  4 O 1.98-2.17
O1 0.0000 0.0399 0.2539 x8  2 Al 2.02, 1 Zn 2.17, 1 Er 2.23
O2 0.2451 0.2500 0.0274 x8  1 Al 1.94, 1 Zn 1.98

Results
raw formation energy: -18.407 eV/f.u.

=====

# 6
# Er4Al12Os

A relaxed Er4Al12Os crystal (PBE-GGA, Alexandria via LeMat-Bulk).

Cell lengths 8.6125, 8.6125, 8.6125 Å; angles 90.00, 90.00, 90.00 degrees
Last column: nearest neighbours and their distance in Å.
Space group Im-3m (No. 229)
Asymmetric unit:
Er1 0.2500 0.2500 0.2500 x8  12 Al 3.04-3.06
Al1 0.0000 0.0000 0.2876 x12  1 Os 2.48
Al2 0.0000 0.2500 0.5000 x12  8 Al 2.83-3.04, 4 Er 3.04
Os1 0.0000 0.0000 0.0000 x2  6 Al 2.48

Results
DFT formation energy: -0.456 eV per atom

=====

# 7
# ErAl2Os

A relaxed ErAl2Os crystal (PBE-GGA, Alexandria via LeMat-Bulk).

Cell lengths 3.1383, 3.1383, 7.2083 Å; angles 90.00, 90.00, 90.00 degrees
Last column: nearest neighbours and their distance in Å.
Space group P4/mmm (No. 123)
Asymmetric unit:
Er1 0.0000 0.0000 0.0000 x1  4 Er 3.14, 8 Al 3.15
Al1 0.5000 0.5000 0.3106 x2  4 Os 2.61, 1 Al 2.73
Os1 0.0000 0.0000 0.5000 x1  8 Al 2.61

Results
DFT formation energy: -0.387 eV per atom

=====

# 8
# ErAl10Os2

A relaxed ErAl10Os2 crystal (PBE-GGA, Alexandria via LeMat-Bulk).

Cell lengths 9.1172, 10.2143, 9.1420 Å; angles 90.00, 90.00, 90.00 degrees
Last column: nearest neighbours and their distance in Å.
Space group Cmcm (No. 63)
Asymmetric unit:
Er1 0.0000 0.1302 0.2500 x4  14 Al 3.12-3.34, 4 Os 3.45
Al1 0.0000 0.1555 0.6009 x8  8 Al 2.63-2.91, 2 Os 2.64
Al2 0.0000 0.3768 0.0470 x8  6 Al 2.63-2.85, 2 Os 2.66
Al3 0.1512 0.3683 0.7500 x8  7 Al 2.67-2.91, 2 Os 2.74
Al4 0.2187 0.3657 0.2500 x8  2 Os 2.59, 6 Al 2.67-2.79
Al5 0.2229 0.0000 0.0000 x8  2 Os 2.57, 6 Al 2.72-2.85
Os1 0.2500 0.2500 0.0000 x8  10 Al 2.57-2.74

Results
DFT formation energy: -0.458 eV per atom

=====

Number 1: electronic total energy -6.952 eV/atom, DOS at the Fermi energy 0.0 states/eV per cell. Number 2: electronic total energy -5.216 eV/atom, DOS at the Fermi energy 8.7 states/eV per cell. Number 3: electronic total energy -8.129 eV/atom, DOS at the Fermi energy 14.2 states/eV per cell. Number 4: electronic total energy -8.080 eV/atom, DOS at the Fermi energy 0.0 states/eV per cell. Number 5: electronic total energy -6.831 eV/atom, DOS at the Fermi energy 0.0 states/eV per cell. Number 6: electronic total energy -4.832 eV/atom, DOS at the Fermi energy 26.6 states/eV per cell. Number 7: electronic total energy -6.206 eV/atom, DOS at the Fermi energy 2.1 states/eV per cell. Number 8: electronic total energy -5.416 eV/atom, DOS at the Fermi energy 12.9 states/eV per cell.